Record 1
Compound: Na3F2
Source: Alexandria via LeMat-Bulk
Functional: PBE-GGA
Structure: relaxed

Lattice parameters (Å, degrees): 3.4034 7.6241 10.4998 105.07 90.00 102.90
Positions (direct):
Na (0.8336, 0.6672, 0.7817)
F (0.3323, 0.6645, 0.6206)
Na (0.5023, 0.0047, 0.3164)
F (0.0042, 0.0083, 0.1562)
Na (0.1672, 0.3343, 0.5417)
Na (0.5000, 0.0000, 0.0000)
Na (0.8363, 0.6727, 0.0987)
Na (0.1637, 0.3273, 0.9013)
F (0.6683, 0.3366, 0.0556)
Na (0.4977, 0.9953, 0.6836)
Na (0.1664, 0.3328, 0.2183)
F (0.3317, 0.6634, 0.9444)
Na (0.8328, 0.6657, 0.4583)
F (0.9958, 0.9917, 0.8438)
F (0.6677, 0.3355, 0.3794)

Results
**Total magnetic moment**: 0.00 μB/cell
**ΔE_f (raw)**: -202.9 kJ per mole of atoms
**DFT total energy**: -3.643 eV per atom
**Relative energy among the computed polymorphs**: 0.000 eV/atom
**Space-group type**: No. 12

Record 2
Compound: K2FeBi
Source: Alexandria via LeMat-Bulk
Functional: PBE-GGA
Structure: relaxed

Lattice parameters (Å, degrees): 13.0516 13.0516 9.5705 47.01 47.01 90.00
Positions (direct):
K (0.3750, 0.6104, 0.7500)
Bi (0.7500, 0.2500, 0.5000)
Bi (0.0000, 0.0000, 0.0000)
K (0.3604, 0.6250, 0.2500)
K (0.3896, 0.1250, 0.2500)
Fe (0.5000, 0.5000, 0.0000)
Fe (0.2500, 0.7500, 0.5000)
K (0.8750, 0.6396, 0.7500)

Results
**Total magnetic moment**: 6.00 μB/cell
**Formation energy from the elements**: 31.28 kJ/mol of atoms
**DFT total energy**: -3.310 eV per atom
**Space-group type**: No. 122

Record 3
Compound: BaMgSc2
Source: Alexandria via LeMat-Bulk
Functional: PBE-GGA
Structure: relaxed

Lattice parameters (Å, degrees): 5.2176 4.8590 4.8590 90.00 90.00 90.00
Positions (direct):
Sc (0.0000, 0.5000, 0.5000)
Ba (0.5000, 0.5000, 0.0000)
Sc (0.0000, 0.0000, 0.0000)
Mg (0.5000, 0.0000, 0.5000)

Results
**Total magnetic moment**: 0.65 μB/cell
**Formation energy from the elements**: 31.63 kJ/mol of atoms
**DFT total energy**: -3.717 eV per atom
**Space-group type**: No. 123

Record 4
Compound: Na2SmBiO4
Source: Alexandria via LeMat-Bulk
Functional: PBE-GGA
Structure: relaxed

Lattice parameters (Å, degrees): 3.5350 6.1240 6.0208 109.65 90.00 90.00
Positions (direct):
O (0.5000, 0.2490, 0.2264)
Na (0.5000, 0.0000, 0.5000)
O (0.0000, 0.2667, 0.7821)
Na (0.0000, 0.5000, 0.5000)
Bi (0.0000, 0.0000, 0.0000)
O (0.0000, 0.7333, 0.2179)
Sm (0.5000, 0.5000, 0.0000)
O (0.5000, 0.7510, 0.7736)

Results
**Total magnetic moment**: 0.00 μB/cell
**ΔE_f (raw)**: -193.9 kJ per mole of atoms
**DFT total energy**: -5.894 eV per atom
**Space-group type**: No. 10

Record 5
Compound: Hf8AlTe2
Source: Alexandria via LeMat-Bulk
Functional: PBE-GGA
Structure: relaxed

Lattice parameters (Å, degrees): 5.3610 7.5394 7.5394 120.42 99.54 99.54
Positions (direct):
Hf (0.6914, 0.3965, 0.3965)
Hf (0.1557, 0.3098, 0.0949)
Hf (0.8443, 0.6902, 0.9051)
Al (0.5000, 0.0000, 0.0000)
Te (0.0000, 0.6974, 0.3026)
Hf (0.8443, 0.9051, 0.6902)
Hf (0.5000, 0.2233, 0.7767)
Hf (0.1557, 0.0949, 0.3098)
Te (0.0000, 0.3026, 0.6974)
Hf (0.3086, 0.6035, 0.6035)
Hf (0.5000, 0.7767, 0.2233)

Results
**Total magnetic moment**: 0.00 μB/cell
**ΔE_f (raw)**: -7.3 kJ per mole of atoms
**DFT total energy**: -8.226 eV per atom
**Space-group type**: No. 12

Record 6
Compound: Ga2MoH
Source: Alexandria via LeMat-Bulk
Functional: PBE-GGA
Structure: relaxed

Lattice parameters (Å, degrees): 4.3367 4.3367 4.3367 60.00 60.00 60.00
Positions (direct):
H (0.0000, 0.0000, 0.0000)
Ga (0.7500, 0.7500, 0.7500)
Ga (0.2500, 0.2500, 0.2500)
Mo (0.5000, 0.5000, 0.5000)

Results
**Total magnetic moment**: 1.37 μB/cell
**DFT total energy**: -4.215 eV per atom
**Relative energy among the computed polymorphs**: 0.836 eV/atom
**Space-group type**: No. 225

Record 7
Compound: ZrTiGa4
Source: Alexandria via LeMat-Bulk
Functional: PBE-GGA
Structure: relaxed

Lattice parameters (Å, degrees): 4.2945 7.4972 7.6043 90.00 124.28 90.00
Positions (direct):
Zr (0.5000, 0.0000, 0.5000)
Ga (0.7630, 0.6664, 0.7636)
Ga (0.2361, 0.6664, 0.2362)
Ga (0.7361, 0.8336, 0.2362)
Ga (0.2639, 0.1664, 0.7638)
Ga (0.7639, 0.3336, 0.7638)
Ga (0.2630, 0.8336, 0.7636)
Ga (0.7370, 0.1664, 0.2364)
Zr (0.0000, 0.5000, 0.5000)
Ti (0.0000, 0.0000, 0.0000)
Ga (0.2370, 0.3336, 0.2364)
Ti (0.5000, 0.5000, 0.0000)

Results
**Total magnetic moment**: 0.00 μB/cell
**Formation energy from the elements**: -34.59 kJ/mol of atoms
**DFT total energy**: -5.117 eV per atom
**Relative energy among the computed polymorphs**: 0.007 eV/atom
**Space-group type**: No. 12

Record 8
Compound: Pm2DyHoSc5
Source: Alexandria via LeMat-Bulk
Functional: PBE-GGA
Structure: relaxed

Lattice parameters (Å, degrees): 8.3094 8.3094 9.3477 116.39 116.39 90.00
Positions (direct):
Pm (0.3801, 0.8801, 0.0000)
Sc (0.1511, 0.0726, 0.7237)
Sc (0.4274, 0.3489, 0.2763)
Sc (0.6511, 0.1511, 0.7237)
Sc (0.5726, 0.6511, 0.7237)
Sc (0.0726, 0.5726, 0.7237)
Sc (0.5000, 0.5000, 0.0000)
Sc (0.9274, 0.4274, 0.2763)
Ho (0.7500, 0.2500, 0.5000)
Sc (0.8489, 0.9274, 0.2763)
Dy (0.7500, 0.7500, 0.5000)
Sc (0.0000, 0.0000, 0.0000)
Pm (0.6199, 0.1199, 0.0000)
Dy (0.2500, 0.2500, 0.5000)
Ho (0.2500, 0.7500, 0.5000)
Pm (0.1199, 0.3801, 0.0000)
Pm (0.8801, 0.6199, 0.0000)
Sc (0.3489, 0.8489, 0.2763)

Results
**Total magnetic moment**: 0.00 μB/cell
**Formation energy from the elements**: 26.46 kJ/mol of atoms
**DFT total energy**: -5.319 eV per atom
**Space-group type**: No. 140